(1)
First-principles (PBEsol) data for a geometry-optimized LiRu2NF structure, as listed in Alexandria.

Cell: 3.7554 3.7554 5.5407 Å, 90.00 90.00 90.00°
Site moments in Bohr magnetons follow the coordinates.
Fractional positions:
Ru 0.0000 0.5000 0.0000  0.97
Ru 0.5000 0.0000 0.0000  0.97
N 0.0000 0.0000 0.0000  -0.05
Li 0.5000 0.5000 0.5000  0.00
F 0.0000 0.0000 0.5000  0.07

Values from the calculation:
The calculation puts the uncorrected formation energy at -0.008 eV/atom. The space-group type is P4/mmm, No. 123. The calculation puts the density of states at the Fermi level at 4.3 states/eV per cell.

(2)
First-principles (PBEsol) data for a geometry-optimized SO2F2 structure, as listed in Alexandria.

Cell: 5.3064 5.3064 11.4660 Å, 90.00 90.00 90.00°
Fractional positions:
S 0.9168 0.9168 0.5000
S 0.5832 0.4168 0.7500
S 0.4168 0.5832 0.2500
S 0.0832 0.0832 0.0000
O 0.9815 0.6778 0.4546
O 0.0185 0.3222 0.9546
O 0.6778 0.9815 0.5454
O 0.1778 0.5185 0.2046
O 0.4815 0.8222 0.2954
O 0.3222 0.0185 0.0454
O 0.8222 0.4815 0.7046
O 0.5185 0.1778 0.7954
F 0.6199 0.5076 0.1583
F 0.1199 0.9924 0.5917
F 0.0076 0.8801 0.9083
F 0.9924 0.1199 0.4083
F 0.4924 0.3801 0.3417
F 0.8801 0.0076 0.0917
F 0.3801 0.4924 0.6583
F 0.5076 0.6199 0.8417

Values from the calculation:
The calculation puts the uncorrected formation energy at -1.568 eV/atom. The space-group type is P4_12_12, No. 92. The calculation puts the density of states at the Fermi level at 0.0 states/eV per cell.

(3)
First-principles (PBEsol) data for a geometry-optimized MgSCl2 structure, as listed in Alexandria.

Cell: 3.7785 3.7785 9.7275 Å, 78.80 78.80 60.00°
Site moments in Bohr magnetons follow the coordinates.
Fractional positions:
S 0.5000 0.5000 0.5000  1.20
Mg 0.0000 0.0000 0.0000  0.00
Cl 0.9237 0.9237 0.2290  0.03
Cl 0.0763 0.0763 0.7710  0.03

Values from the calculation:
The calculation puts the uncorrected formation energy at 0.023 eV/atom. The space-group type is R-3m, No. 166. The calculation puts the density of states at the Fermi level at 1.0 states/eV per cell.

(4)
First-principles (PBEsol) data for a geometry-optimized Sn5O6 structure, as listed in Alexandria.

Cell: 4.8490 5.8186 13.3627 Å, 92.55 90.00 90.00°
Fractional positions:
Sn 0.0019 0.8193 0.8991
Sn 0.9980 0.3497 0.6992
Sn 0.4981 0.3193 0.8991
Sn 0.5019 0.6807 0.1009
Sn 0.4980 0.1503 0.3008
Sn 0.9981 0.1807 0.1009
Sn 0.0020 0.6503 0.3008
Sn 0.5000 0.5000 0.5000
Sn 0.5020 0.8497 0.6992
Sn 0.0000 0.0000 0.5000
O 0.1778 0.0387 0.6420
O 0.8222 0.9613 0.3580
O 0.6778 0.4613 0.3580
O 0.1980 0.7083 0.4411
O 0.8020 0.2917 0.5589
O 0.3210 0.3709 0.0450
O 0.1790 0.8709 0.0450
O 0.3222 0.5387 0.6420
O 0.6790 0.6291 0.9550
O 0.8210 0.1291 0.9550
O 0.6980 0.7917 0.5589
O 0.3020 0.2083 0.4411

Values from the calculation:
The calculation puts the uncorrected formation energy at -1.388 eV/atom. The space-group type is P2_1/c, No. 14.

(5)
First-principles (PBEsol) data for a geometry-optimized RePdPt3 structure, as listed in Alexandria.

Cell: 4.7153 4.7153 4.7153 Å, 90.00 90.00 90.00°
Fractional positions:
Re 0.0000 0.0000 0.0000
Pd 0.5000 0.5000 0.5000
Pt 0.0000 0.5000 0.0000
Pt 0.0000 0.0000 0.5000
Pt 0.5000 0.0000 0.0000

Values from the calculation:
As for the formation enthalpy at 0 K: 1.509 eV per atom. The space-group type is Pm-3m, No. 221. The calculation puts the density of states at the Fermi level at 3.1 states/eV per cell.

(6)
First-principles (PBEsol) data for a geometry-optimized Li2MgTl structure, as listed in Alexandria.

Cell: 4.7002 4.7079 4.7002 Å, 119.95 90.00 119.95°
Fractional positions:
Tl 0.0000 0.0000 0.0000
Mg 0.5000 0.0000 0.5000
Li 0.2500 0.5000 0.7500
Li 0.7500 0.5000 0.2500

Values from the calculation:
As for the formation enthalpy at 0 K: -0.230 eV per atom. The space-group type is I4/mmm, No. 139. The calculation puts the density of states at the Fermi level at 1.2 states/eV per cell.

(7)
First-principles (PBEsol) data for a geometry-optimized BaLaZr2 structure, as listed in Alexandria.

Cell: 4.7130 4.7130 5.1163 Å, 90.00 90.00 90.00°
Fractional positions:
Ba 0.5000 0.5000 0.5000
La 0.0000 0.0000 0.5000
Zr 0.0000 0.5000 0.0000
Zr 0.5000 0.0000 0.0000

Values from the calculation:
As for the formation enthalpy at 0 K: 0.523 eV per atom. As for the energy above the most stable polymorph in this dataset: 0.148 eV/atom. The space-group type is P4/mmm, No. 123. The calculation puts the density of states at the Fermi level at 5.4 states/eV per cell.

(8)
First-principles (PBEsol) data for a geometry-optimized LiAsN2F structure, as listed in Alexandria.

Cell: 3.6281 3.6281 4.2209 Å, 90.00 90.00 90.00°
Site moments in Bohr magnetons follow the coordinates.
Fractional positions:
As 0.0000 0.0000 0.0000  0.00
N 0.0000 0.5000 0.0000  0.05
N 0.5000 0.0000 0.0000  0.05
Li 0.5000 0.5000 0.5000  0.00
F 0.0000 0.0000 0.5000  0.00

Values from the calculation:
The calculation puts the uncorrected formation energy at 0.002 eV/atom. The space-group type is P4/mmm, No. 123. The calculation puts the density of states at the Fermi level at 1.4 states/eV per cell.

(9)
First-principles (PBEsol) data for a geometry-optimized YPbAu2 structure, as listed in Alexandria.

Cell: 3.6433 3.6427 6.7147 Å, 90.00 90.01 90.00°
Fractional positions:
Pb 0.5000 0.5000 0.0000
Y 0.5000 0.5000 0.5000
Au 0.0001 0.0000 0.7261
Au 0.9999 0.0000 0.2739

Values from the calculation:
As for the formation enthalpy at 0 K: -0.575 eV per atom. The space-group type is P4/mmm, No. 123. The calculation puts the density of states at the Fermi level at 1.6 states/eV per cell.

(10)
First-principles (PBEsol) data for a geometry-optimized Si3CCl8 structure, as listed in Alexandria.

Cell: 8.8100 9.2841 9.4212 Å, 96.27 114.96 102.46°
Fractional positions:
Si 0.9827 0.2914 0.2275
Si 0.8971 0.5678 0.4052
Si 0.7022 0.2188 0.3412
Si 0.0173 0.7086 0.7725
Si 0.2978 0.7812 0.6588
Si 0.1029 0.4322 0.5948
C 0.0873 0.6358 0.6193
C 0.9127 0.3642 0.3807
Cl 0.6662 0.5759 0.4016
Cl 0.9167 0.6815 0.2390
Cl 0.7181 0.0038 0.3006
Cl 0.2819 0.9962 0.6994
Cl 0.0833 0.3185 0.7610
Cl 0.5073 0.7637 0.8537
Cl 0.6406 0.2333 0.5263
Cl 0.3594 0.7667 0.4737
Cl 0.0938 0.1222 0.2886
Cl 0.9062 0.8778 0.7114
Cl 0.7741 0.2086 0.0051
Cl 0.2259 0.7914 0.9949
Cl 0.1578 0.4509 0.1977
Cl 0.8422 0.5491 0.8023
Cl 0.3338 0.4241 0.5984
Cl 0.4927 0.2363 0.1463

Values from the calculation:
The calculation puts the uncorrected formation energy at -1.014 eV/atom. The space-group type is P-1, No. 2. The calculation puts the density of states at the Fermi level at 0.0 states/eV per cell.

| no. | theoretical density (g/cm³) |
| --- | --- |
| 1 | 5.14 |
| 2 | 2.10 |
| 3 | 1.80 |
| 4 | 6.08 |
| 5 | 13.90 |
| 6 | 5.47 |
| 7 | 6.70 |
| 8 | 3.85 |
| 9 | 12.86 |
| 10 | 1.90 |